The following is a DFT calculation (GGA+U) of a relaxed YV2F crystal.

Properties
The calculation puts the uncorrected energy at -5.065 eV/atom. Its distance to the lowest polymorph of the same formula is 640 meV/atom.

abc: 7.038 7.038 7.038
angles: 90.00 90.00 90.00
Positions (direct):
Y1 0.000 0.000 0.000
Y2 0.000 0.500 0.500
Y3 0.500 0.000 0.500
Y4 0.500 0.500 0.000
V1 0.250 0.250 0.250
V2 0.250 0.250 0.750
V3 0.250 0.750 0.250
V4 0.250 0.750 0.750
V5 0.750 0.250 0.250
V6 0.750 0.250 0.750
V7 0.750 0.750 0.250
V8 0.750 0.750 0.750
F1 0.000 0.000 0.500
F2 0.000 0.500 0.000
F3 0.500 0.000 0.000
F4 0.500 0.500 0.500